Entry from Alexandria: crystalline CeZnTc at its relaxed geometry (GGA-PBE).

Cell and atoms, written as extended XYZ:
```
6
Lattice="-1.843 -2.476 1.313 5.142 -2.016 3.418 -1.472 3.302 4.162" Properties=species:S:1:pos:R:3 pbc="T T T"
Ce 1.329 0.160 2.169
Ce 2.341 1.126 5.411
Tc 0.000 0.000 0.000
Tc -0.736 1.651 2.081
Zn 2.570 -1.926 4.262
Zn -0.743 0.736 4.630
```

Calculated values
The value obtained for the formation energy is 8.6 meV per atom. For the distance to the lowest polymorph of the same formula, the calculation gives 214 meV per atom. The value obtained for the total energy is -17.55 eV/f.u.



Entry from Alexandria: crystalline SrCa2Mo at its relaxed geometry (GGA-PBE).

Cell and atoms, written as extended XYZ:
```
4
Lattice="5.083 0.000 0.000 0.000 5.083 0.000 0.000 0.000 5.243" Properties=species:S:1:pos:R:3 pbc="T T T"
Sr 0.000 2.541 2.622
Mo 2.541 0.000 2.622
Ca 0.000 0.000 0.000
Ca 2.541 2.541 0.000
```

Calculated values
The value obtained for the formation energy is 799.7 meV per atom. For the distance to the lowest polymorph of the same formula, the calculation gives 167 meV per atom. The value obtained for the total energy is -13.32 eV/f.u.



Entry from Alexandria: crystalline Sm6Si2PI3 at its relaxed geometry (GGA-PBE).

Cell and atoms, written as extended XYZ:
```
12
Lattice="7.346 -0.001 0.001 -3.672 6.363 0.001 -1.225 -2.120 7.619" Properties=species:S:1:pos:R:3 pbc="T T T"
Sm 3.664 2.137 6.154
Sm 2.459 4.257 1.470
Sm -1.215 2.104 1.466
Sm 0.020 4.242 6.154
Sm -0.009 -0.016 6.150
Sm 2.430 -0.001 1.466
Si 0.002 4.241 0.001
Si 3.672 2.121 0.001
P 0.000 0.000 0.000
I -2.435 4.234 3.810
I 4.884 0.007 3.810
I 1.225 2.121 3.810
```

Calculated values
The value obtained for the total energy is -62.18 eV/f.u. As for the uncorrected formation energy: -24.90 kcal/mol of atoms.



Entry from Alexandria: crystalline Li2ZnRu at its relaxed geometry (GGA-PBE).

Cell and atoms, written as extended XYZ:
```
4
Lattice="-4.140 2.096 -0.741 -4.289 1.117 1.563 1.287 4.390 1.948" Properties=species:S:1:pos:R:3 pbc="T T T"
Li -7.101 7.553 2.752
Li -5.382 5.707 2.079
Ru -3.627 3.744 1.358
Zn -1.745 2.004 0.739
```

Calculated values
The value obtained for the formation energy is 20.2 meV per atom. The value obtained for the total energy is -14.30 eV/f.u.



Entry from Alexandria: crystalline SrCrIr2 at its relaxed geometry (GGA-PBE).

Cell and atoms, written as extended XYZ:
```
4
Lattice="-1.872 -4.043 2.108 1.734 0.204 4.609 -2.395 3.507 -2.502" Properties=species:S:1:pos:R:3 pbc="T T T"
Cr -2.168 -1.228 1.482
Ir 0.000 0.000 0.000
Ir -0.069 -1.919 3.358
Sr -0.365 0.896 2.733
```

Calculated values
The value obtained for the formation energy is 502.7 meV per atom. For the distance to the lowest polymorph of the same formula, the calculation gives 478 meV per atom. The value obtained for the total energy is -27.02 eV/f.u.



Entry from Alexandria: crystalline Pm6Pr5Tm at its relaxed geometry (GGA-PBE).

Cell and atoms, written as extended XYZ:
```
12
Lattice="-1.235 6.224 0.133 -5.997 2.038 0.365 0.275 1.966 12.003" Properties=species:S:1:pos:R:3 pbc="T T T"
Pr -4.069 3.378 6.268
Pr -2.412 2.754 0.166
Pr -0.480 4.095 6.068
Pr -4.820 5.508 0.332
Pr -2.888 6.849 6.234
Tm 0.000 0.000 0.000
Pm -2.644 4.811 3.176
Pm -1.883 2.666 9.158
Pm -0.721 6.149 9.122
Pm -0.240 2.040 3.014
Pm -5.074 7.561 3.344
Pm -4.313 5.416 9.325
```

Calculated values
The value obtained for the formation energy is 14.5 meV per atom. The value obtained for the total energy is -56.70 eV/f.u.



Entry from Alexandria: crystalline Tm5Hg2Os2 at its relaxed geometry (GGA-PBE).

Cell and atoms, written as extended XYZ:
```
18
Lattice="6.927 0.000 2.514 0.000 7.448 0.000 0.741 0.000 8.757" Properties=species:S:1:pos:R:3 pbc="T T T"
Tm 0.000 0.000 0.000
Tm 3.463 3.724 1.257
Tm 3.627 1.331 7.731
Tm 6.112 6.117 8.633
Tm 2.649 5.055 7.376
Tm 7.091 2.393 8.988
Tm 4.041 6.117 3.541
Tm 1.556 1.331 2.639
Tm 5.019 2.393 3.896
Tm 0.577 5.055 2.284
Hg 1.936 0.000 5.466
Hg 5.399 3.724 6.723
Hg 5.732 0.000 5.806
Hg 2.269 3.724 4.548
Os 0.818 2.826 0.297
Os 6.109 4.622 2.218
Os 2.646 6.550 0.960
Os 4.281 0.898 1.554
```

Calculated values
The value obtained for the formation energy is -402.6 meV per atom. The value obtained for the total energy is -49.04 eV/f.u.



Entry from Alexandria: crystalline RbMgAgHg2 at its relaxed geometry (GGA-PBE).

Cell and atoms, written as extended XYZ:
```
5
Lattice="-1.993 -3.998 -3.403 4.456 0.637 -3.357 2.666 -3.737 2.829" Properties=species:S:1:pos:R:3 pbc="T T T"
Mg 0.000 0.000 0.000
Rb 2.565 -3.549 -1.966
Hg 2.228 0.319 -1.679
Hg -0.996 -1.999 -1.701
Ag 1.333 -1.869 1.415
```

Calculated values
The value obtained for the formation energy is -16.3 meV per atom. For the distance to the lowest polymorph of the same formula, the calculation gives 0 meV per atom. The value obtained for the total energy is -6.10 eV/f.u.